Entry from Alexandria: a relaxed ReAg2Ru crystal (PBE-GGA).

```
4
Lattice="1.438 -2.330 0.000 1.438 2.330 0.000 0.000 0.000 9.712" Properties=species:S:1:pos:R:3 pbc="T T T"
Re 0.000 0.000 0.000
Ag 0.000 0.000 4.633
Ag 1.438 0.000 7.162
Ru 1.438 0.000 2.115
```

Results
polymorph energy (0 for the lowest one)	0.1445	eV/atom
ΔE_f	1.57	eV/f.u.
space-group type	Cmm2



Entry from Alexandria: a relaxed Pr5Tl2O2 crystal (PBE-GGA).

```
18
Lattice="-3.561 9.726 3.589 3.561 -9.726 3.589 3.561 9.726 -3.589" Properties=species:S:1:pos:R:3 pbc="T T T"
Pr 1.780 4.863 -1.795
Pr 1.780 -4.863 1.795
Pr 0.000 2.675 0.529
Pr 1.780 9.489 -1.795
Pr 1.780 -0.238 1.795
Pr 0.000 7.051 0.529
Pr 3.561 2.675 3.060
Pr -1.780 9.964 1.795
Pr 1.780 9.964 1.795
Pr 3.561 7.051 3.060
Tl 3.561 2.470 -0.154
Tl 3.561 7.256 -0.154
Tl 0.000 2.470 3.743
Tl 0.000 7.256 3.743
O 0.000 0.000 0.000
O 3.561 -4.863 3.407
O 0.000 9.726 0.000
O 0.000 14.590 0.182
```

Results
formation energy (no corrections)	-1.361	eV per atom
space-group type	Imma



Entry from Alexandria: a relaxed BaSc2Ge crystal (PBE-GGA).

```
4
Lattice="1.930 1.114 10.284 -1.930 1.114 10.284 0.000 -2.229 10.284" Properties=species:S:1:pos:R:3 pbc="T T T"
Ba 0.000 0.000 0.000
Sc 0.000 0.000 3.662
Sc 0.000 0.000 27.190
Ge 0.000 0.000 15.426
```

Results
ΔE_f	-0.07	eV/f.u.
space-group type	R-3m



Entry from Alexandria: a relaxed Si3Pt crystal (PBE-GGA).

```
8
Lattice="4.832 0.000 0.000 0.000 7.035 0.000 0.000 0.000 3.680" Properties=species:S:1:pos:R:3 pbc="T T T"
Si 1.208 0.012 0.381
Si 1.208 3.506 0.381
Si 1.208 5.276 2.210
Si 3.624 1.759 1.469
Si 3.624 3.529 3.299
Si 3.624 7.023 3.299
Pt 1.208 1.759 2.131
Pt 3.624 5.276 1.549
```

Results
formation energy (no corrections)	-0.026	eV per atom
space-group type	Pmmn



Entry from Alexandria: a relaxed Pd3ClF crystal (PBE-GGA).

```
5
Lattice="4.554 0.000 0.000 0.000 4.554 0.000 0.000 0.000 4.554" Properties=species:S:1:pos:R:3 pbc="T T T"
Pd 0.000 0.000 2.277
Pd 0.000 2.277 0.000
Pd 2.277 0.000 0.000
Cl 0.000 0.000 0.000
F 2.277 2.277 2.277
```

Results
polymorph energy (0 for the lowest one)	0.0000	eV/atom
formation energy (no corrections)	0.296	eV per atom
space-group type	Pm-3m



Entry from Alexandria: a relaxed PaCuNiSb crystal (PBE-GGA).

```
4
Lattice="0.000 3.307 3.307 3.307 0.000 3.307 3.307 3.307 0.000" Properties=species:S:1:pos:R:3 pbc="T T T"
Pa 0.000 0.000 0.000
Cu 4.961 4.961 4.961
Ni 1.654 1.654 1.654
Sb 3.307 3.307 3.307
```

Results
formation energy (no corrections)	-0.266	eV per atom
space-group type	F-43m



Entry from Alexandria: a relaxed KY crystal (PBE-GGA).

```
4
Lattice="6.794 -1.818 0.000 6.794 1.818 0.000 -2.980 0.000 7.014" Properties=species:S:1:pos:R:3 pbc="T T T"
K 0.261 0.000 3.309
K 10.347 0.000 3.705
Y 4.906 0.000 0.082
Y 5.702 0.000 6.932
```

Results
ΔE_f	1.05	eV/f.u.
space-group type	C2/m



Entry from Alexandria: a relaxed LiMgNi2N crystal (PBE-GGA).

```
5
Lattice="3.794 0.000 0.000 0.000 3.794 0.000 0.000 0.000 3.913" Properties=species:S:1:pos:R:3 pbc="T T T"
Li 0.000 0.000 0.000
Mg 1.897 1.897 0.000
Ni 0.000 1.897 1.956
Ni 1.897 0.000 1.956
N 0.000 0.000 1.956
```

Results
formation energy (no corrections)	-0.214	eV per atom
space-group type	P4/mmm



Entry from Alexandria: a relaxed Th6Co2PtSe3 crystal (PBE-GGA).

```
12
Lattice="3.534 -6.115 0.000 3.534 6.115 0.000 -2.366 0.000 7.273" Properties=species:S:1:pos:R:3 pbc="T T T"
Th -0.064 2.136 5.705
Th 1.065 0.000 1.557
Th -0.064 -2.136 5.705
Th 4.765 2.136 1.568
Th 3.636 0.000 5.716
Th 4.765 -2.136 1.568
Co 3.534 4.074 0.000
Co 3.534 -4.074 0.000
Pt 3.534 0.000 0.000
Se -1.183 0.000 3.636
Se 2.351 1.989 3.636
Se 2.351 -1.989 3.636
```

Results
formation energy (no corrections)	-1.075	eV per atom
space-group type	C2/m



Entry from Alexandria: a relaxed RbLa2SnTe crystal (PBE-GGA).

```
5
Lattice="6.055 0.000 0.000 0.000 6.055 0.000 0.000 0.000 6.290" Properties=species:S:1:pos:R:3 pbc="T T T"
Rb 0.000 0.000 0.000
La 0.000 3.028 3.145
La 3.028 0.000 3.145
Sn 3.028 3.028 0.000
Te 0.000 0.000 3.145
```

Results
formation energy (no corrections)	-0.224	eV per atom
space-group type	P4/mmm



Entry from Alexandria: a relaxed CaHf2Ti2 crystal (PBE-GGA).

```
10
Lattice="8.389 0.000 0.000 0.000 8.389 0.000 0.000 0.000 3.222" Properties=species:S:1:pos:R:3 pbc="T T T"
Ca 0.000 0.000 0.000
Ca 4.195 4.195 0.000
Hf 1.424 2.771 1.611
Hf 2.771 6.965 1.611
Hf 5.618 1.424 1.611
Hf 6.965 5.618 1.611
Ti 0.993 5.187 0.000
Ti 3.202 0.993 0.000
Ti 5.187 7.396 0.000
Ti 7.396 3.202 0.000
```

Results
polymorph energy (0 for the lowest one)	0.0000	eV/atom
ΔE_f	1.13	eV/f.u.
space-group type	P4/mbm



Entry from Alexandria: a relaxed Tb3PrHo2 crystal (PBE-GGA).

```
12
Lattice="7.192 0.000 0.000 3.585 6.243 0.000 1.804 1.052 8.629" Properties=species:S:1:pos:R:3 pbc="T T T"
Tb 1.798 1.043 1.411
Tb 3.595 2.089 4.320
Tb 7.189 6.253 7.207
Tb 5.392 1.042 1.422
Tb 8.987 5.206 4.310
Tb 10.784 6.252 7.218
Pr 5.388 5.203 4.306
Pr 7.194 2.092 4.324
Ho 3.587 4.157 1.423
Ho 5.393 3.135 7.217
Ho 7.189 4.160 1.413
Ho 8.994 3.138 7.207
```

Results
polymorph energy (0 for the lowest one)	0.0000	eV/atom
ΔE_f	-0.02	eV/f.u.
space-group type	P-1



Entry from Alexandria: a relaxed Cd8In3Pb crystal (PBE-GGA).

```
12
Lattice="5.817 0.000 0.000 -2.909 5.038 0.000 0.000 0.000 10.405" Properties=species:S:1:pos:R:3 pbc="T T T"
Cd 0.000 0.000 0.000
Cd 0.000 0.000 5.206
Cd 0.000 1.704 2.641
Cd -1.433 4.186 2.641
Cd 1.472 0.850 7.787
Cd 1.433 4.186 2.641
Cd 4.345 0.850 7.787
Cd 2.909 3.338 7.787
In 0.000 3.359 5.917
In 0.000 3.359 9.638
In 2.909 1.679 4.587
Pb 2.909 1.679 0.763
```

Results
ΔE_f	0.51	eV/f.u.
space-group type	P3m1



Entry from Alexandria: a relaxed MnCu4Br crystal (PBE-GGA).

```
6
Lattice="0.000 3.557 3.557 3.557 0.000 3.557 3.557 3.557 0.000" Properties=species:S:1:pos:R:3 pbc="T T T"
Mn 0.000 0.000 0.000
Cu 4.451 2.664 2.664
Cu 2.664 4.451 2.664
Cu 2.664 2.664 4.451
Cu 4.451 4.451 4.451
Br 1.779 1.779 1.779
```

Results
formation energy (no corrections)	0.378	eV per atom
space-group type	F-43m



Entry from Alexandria: a relaxed ScAgHgGe crystal (PBE-GGA).

```
4
Lattice="0.000 3.409 3.409 3.409 0.000 3.409 3.409 3.409 0.000" Properties=species:S:1:pos:R:3 pbc="T T T"
Sc 0.000 0.000 0.000
Ag 3.409 3.409 3.409
Hg 1.705 1.705 1.705
Ge 5.114 5.114 5.114
```

Results
ΔE_f	-0.91	eV/f.u.
space-group type	F-43m



Entry from Alexandria: a relaxed KNdBi2 crystal (PBE-GGA).

```
4
Lattice="2.285 1.319 8.915 -2.285 1.319 8.915 0.000 -2.638 8.915" Properties=species:S:1:pos:R:3 pbc="T T T"
K 0.000 0.000 0.000
Nd 0.000 0.000 4.534
Bi 0.000 0.000 15.314
Bi 0.000 0.000 20.458
```

Results
polymorph energy (0 for the lowest one)	0.1681	eV/atom
ΔE_f	-1.57	eV/f.u.
space-group type	R3m



Entry from Alexandria: a relaxed Ba12Hg3Cl5 crystal (PBE-GGA).

```
80
Lattice="-9.806 9.806 9.806 9.806 -9.806 9.806 9.806 9.806 -9.806" Properties=species:S:1:pos:R:3 pbc="T T T"
Ba 2.992 -0.518 1.325
Ba 11.717 6.228 -5.421
Ba 9.288 -1.325 2.992
Ba 15.227 -1.911 3.578
Ba 12.798 0.518 1.325
Ba 11.717 -3.578 5.421
Ba 1.325 2.992 -0.518
Ba 13.384 4.385 -1.911
Ba 6.228 5.421 -1.911
Ba 8.481 2.992 0.518
Ba -0.518 1.325 2.992
Ba 5.421 -1.911 6.228
Ba 9.288 8.481 -2.992
Ba 5.421 1.911 3.578
Ba 8.481 -2.992 9.288
Ba 6.228 -5.421 11.717
Ba 3.578 5.421 1.911
Ba 11.131 6.814 0.518
Ba 2.992 9.288 -1.325
Ba 11.717 3.578 4.385
Ba 5.421 11.717 -3.578
Ba 9.288 1.325 6.814
Ba 1.911 3.578 5.421
Ba 2.992 0.518 8.481
Ba 6.814 9.288 1.325
Ba 7.895 6.228 4.385
Ba 0.518 8.481 2.992
Ba 4.385 -1.911 13.384
Ba -1.911 6.228 5.421
Ba 6.814 0.518 11.131
Ba -1.325 2.992 9.288
Ba 6.228 4.385 7.895
Ba 3.578 15.227 -1.911
Ba 1.325 12.798 0.518
Ba 4.385 7.895 6.228
Ba 0.518 1.325 12.798
Ba 4.385 11.717 3.578
Ba 10.324 8.481 6.814
Ba 1.325 6.814 9.288
Ba 3.578 4.385 11.717
Ba -3.578 5.421 11.717
Ba 8.481 6.814 10.324
Ba -1.911 13.384 4.385
Ba -2.992 9.288 8.481
Ba -5.421 11.717 6.228
Ba 0.518 11.131 6.814
Ba -1.911 3.578 15.227
Ba 6.814 10.324 8.481
Hg 4.903 2.451 0.000
Hg 9.806 4.903 -2.451
Hg 2.451 0.000 4.903
Hg 12.257 0.000 4.903
Hg 0.000 4.903 2.451
Hg 4.903 -2.451 9.806
Hg 4.903 12.257 0.000
Hg 9.806 4.903 7.354
Hg -2.451 9.806 4.903
Hg 7.354 9.806 4.903
Hg 0.000 4.903 12.257
Hg 4.903 7.354 9.806
Cl 0.000 0.000 0.000
Cl 4.903 4.903 -4.903
Cl 4.903 -4.903 4.903
Cl 9.806 0.000 0.000
Cl 14.709 2.451 0.000
Cl 9.806 -4.903 7.354
Cl 7.354 9.806 -4.903
Cl 7.354 0.000 4.903
Cl 4.903 7.354 0.000
Cl 9.806 4.903 2.451
Cl -4.903 4.903 4.903
Cl 0.000 9.806 0.000
Cl 0.000 0.000 9.806
Cl 4.903 4.903 4.903
Cl 0.000 4.903 7.354
Cl 4.903 2.451 9.806
Cl 2.451 9.806 4.903
Cl 2.451 0.000 14.709
Cl 0.000 14.709 2.451
Cl -4.903 7.354 9.806
```

Results
formation energy (no corrections)	-0.968	eV per atom
space-group type	Ia-3d



Entry from Alexandria: a relaxed Ac2Si3NiPt4 crystal (PBE-GGA).

```
10
Lattice="4.394 0.000 0.000 0.000 4.394 0.000 0.000 0.000 9.991" Properties=species:S:1:pos:R:3 pbc="T T T"
Ac 0.000 2.197 2.396
Ac 2.197 0.000 7.595
Si 0.000 0.000 0.000
Si 0.000 2.197 6.233
Si 2.197 0.000 3.759
Ni 2.197 2.197 0.000
Pt 0.000 0.000 4.996
Pt 0.000 2.197 8.692
Pt 2.197 0.000 1.300
Pt 2.197 2.197 4.996
```

Results
formation energy (no corrections)	-0.942	eV per atom
space-group type	P-4m2



Entry from Alexandria: a relaxed Pu7Ru3 crystal (PBE-GGA).

```
10
Lattice="8.233 -2.419 0.000 8.233 2.419 0.000 -1.712 0.000 5.035" Properties=species:S:1:pos:R:3 pbc="T T T"
Pu 0.000 0.000 0.000
Pu 2.014 0.000 3.529
Pu 5.926 0.000 0.739
Pu 5.709 0.000 3.335
Pu 9.045 0.000 1.700
Pu 8.828 0.000 4.296
Pu 12.740 0.000 1.506
Ru -0.856 0.000 2.518
Ru 2.913 0.000 1.153
Ru 11.841 0.000 3.882
```

Results
ΔE_f	0.10	eV/f.u.
space-group type	C2/m



Entry from Alexandria: a relaxed Mg3SiPd4 crystal (PBE-GGA).

```
8
Lattice="-2.142 2.142 6.736 2.142 -2.142 6.736 2.142 2.142 -6.736" Properties=species:S:1:pos:R:3 pbc="T T T"
Mg 0.000 0.000 0.000
Mg 0.000 0.000 3.361
Mg 0.000 0.000 10.110
Si 0.000 0.000 6.736
Pd 2.142 0.000 1.543
Pd 2.142 0.000 5.193
Pd 0.000 2.142 1.543
Pd 0.000 2.142 5.193
```

Results
formation energy (no corrections)	-0.692	eV per atom
space-group type	I4/mmm



Entry from Alexandria: a relaxed Ni4AgSb crystal (PBE-GGA).

```
6
Lattice="0.000 3.457 3.457 3.457 0.000 3.457 3.457 3.457 0.000" Properties=species:S:1:pos:R:3 pbc="T T T"
Ni 0.865 0.865 0.865
Ni 2.592 2.592 0.865
Ni 2.592 0.865 2.592
Ni 0.865 2.592 2.592
Ag 3.457 3.457 3.457
Sb 5.186 5.186 5.186
```

Results
formation energy (no corrections)	0.094	eV per atom
space-group type	F-43m



Entry from Alexandria: a relaxed AlIn2SnBi crystal (PBE-GGA).

```
5
Lattice="5.620 0.000 0.000 0.000 5.620 0.000 0.000 0.000 5.245" Properties=species:S:1:pos:R:3 pbc="T T T"
Al 0.000 0.000 0.000
In 0.000 2.810 2.622
In 2.810 0.000 2.622
Sn 0.000 0.000 2.622
Bi 2.810 2.810 0.000
```

Results
ΔE_f	2.52	eV/f.u.
space-group type	P4/mmm



Values for V, Å³ per atom, ordered as above
16.28 27.62 33.18 15.63 18.88 18.09 43.31 11.27 26.19 46.13 22.67 32.29 25.41 15.01 19.81 40.31 47.15 19.29 20.06 15.45 13.78 33.13
Values for DOS(E_F), states/eV per cell, ordered as above
3.7 8.1 3.8 3.3 3.5 4.0 5.9 3.1 10.4 3.5 17.8 14.9 4.1 3.5 1.0 4.2 91.6 8.3 32.7 3.1 7.2 2.2